PmPrSi2 PBE relaxed; VASP energy = -5.518 eV per atom; symmetry = No. 123; theoretical density = 5957 kg/m3; ΔE_f (raw) = -424 meV/atom
1.0
3.408 0.000 0.000
0.000 3.408 0.000
0.000 0.000 8.210
Pm Pr Si
1 1 2
Direct
0.000 0.000 0.000
0.000 0.000 0.500
0.500 0.500 0.246
0.500 0.500 0.754